The following is a DFT calculation (PBE) of crystalline HfZr8Sc4 at its relaxed geometry.

V	314	Å³ per cell
magnetic moment	0.00	μB/f.u.
energy relative to the elements	0.28	eV/atom
space group	C2/m (12)

Unit cell a=6.458 b=6.448 c=9.468 alpha=90.06 beta=109.95 gamma=120.02
Element x y z (fractional)
Sc 0.000 0.000 0.000
Sc 0.500 0.000 0.000
Sc 0.500 0.500 0.000
Sc 0.000 0.500 0.000
Hf 0.000 0.500 0.500
Zr 0.499 0.750 0.710
Zr 0.961 0.750 0.710
Zr 0.962 0.212 0.711
Zr 0.038 0.788 0.289
Zr 0.412 0.205 0.617
Zr 0.588 0.795 0.383
Zr 0.501 0.250 0.290
Zr 0.039 0.250 0.290